1.
MgHgSO: relaxed, PBE.

Lattice parameters (Å, degrees): 7.0225 11.9782 6.9439 90.00 90.00 90.00
With the nearest neighbours (Å) after each atom.
Sites, in units of the cell vectors:
S 0.0000 0.9702 0.7507  4 Mg 2.54-2.57, 1 Hg 2.70
Mg 0.2511 0.4544 0.4810  1 O 1.98
Hg 0.0025 0.2452 0.7512  2 O 2.18
Hg 0.9975 0.7548 0.2488  2 O 2.18
O 0.2467 0.7929 0.4240  1 Mg 1.98, 2 Hg 2.18
Mg 0.7489 0.5456 0.5190  1 O 1.98
O 0.7467 0.7071 0.5760  1 Mg 1.98, 2 Hg 2.18
Hg 0.4975 0.7548 0.2512  2 O 2.18
S 0.5001 0.4702 0.7507  4 Mg 2.54-2.57, 1 Hg 2.70
S 0.0000 0.4702 0.7493  4 Mg 2.54-2.57, 1 Hg 2.70
S 0.4999 0.9702 0.7493  4 Mg 2.54-2.57, 1 Hg 2.70
Hg 0.5025 0.2548 0.2488  2 O 2.18
Mg 0.7489 0.9544 0.0190  1 O 1.98
O 0.2533 0.2929 0.4240  1 Mg 1.98, 2 Hg 2.18
O 0.2467 0.7071 0.9240  1 Mg 1.98, 2 Hg 2.18
Hg 0.9975 0.7452 0.7488  2 O 2.18
Mg 0.2489 0.9544 0.4810  1 O 1.98
S 0.0000 0.0298 0.2493  4 Mg 2.54-2.57, 1 Hg 2.70
O 0.2533 0.2071 0.9240  1 Mg 1.98, 2 Hg 2.18
S 0.5001 0.0298 0.2507  4 Mg 2.54-2.57, 1 Hg 2.70
Mg 0.2489 0.5456 0.9810  1 O 1.98
Hg 0.0025 0.2548 0.2512  2 O 2.18
O 0.7533 0.2071 0.5760  1 Mg 1.98, 2 Hg 2.18
Mg 0.2511 0.0456 0.9810  1 O 1.98
S 0.4999 0.5298 0.2493  4 Mg 2.54-2.57, 1 Hg 2.70
Hg 0.5025 0.2452 0.7488  2 O 2.18
O 0.7533 0.2929 0.0760  1 Mg 1.98, 2 Hg 2.18
S 0.0000 0.5298 0.2507  4 Mg 2.54-2.57, 1 Hg 2.70
Mg 0.7511 0.4544 0.0190  1 O 1.98
Mg 0.7511 0.0456 0.5190  1 O 1.98
Hg 0.4975 0.7452 0.7512  2 O 2.18
O 0.7467 0.7929 0.0760  1 Mg 1.98, 2 Hg 2.18

Energy above the lowest structure with this stoichiometry: 284.9 meV/atom
SG: No. 61

2.
HoMg: relaxed, PBE.

Lattice parameters (Å, degrees): 5.0744 10.7935 5.0708 90.00 90.00 76.40
With the nearest neighbours (Å) after each atom.
Sites, in units of the cell vectors:
Mg 0.0931 0.9810 0.0000  2 Mg 3.17, 6 Ho 3.17-3.34
Ho 0.6835 0.8000 0.0000  8 Mg 3.17
Mg 0.5924 0.9814 0.5000  6 Ho 3.17-3.33, 2 Mg 3.17
Ho 0.4897 0.1874 0.0000  4 Mg 3.33-3.34, 8 Ho 3.47-3.59
Ho 0.3741 0.4182 0.5000  4 Mg 3.29-3.30, 8 Ho 3.51-3.59
Ho 0.8771 0.4126 0.0000  4 Mg 3.33-3.34, 8 Ho 3.47-3.59
Mg 0.2741 0.6190 0.0000  2 Mg 3.17, 6 Ho 3.17-3.34
Ho 0.9924 0.1818 0.5000  4 Mg 3.29-3.30, 8 Ho 3.51-3.59
Mg 0.1830 0.8000 0.5000  8 Mg 3.17
Mg 0.7738 0.6186 0.5000  6 Ho 3.17-3.33, 2 Mg 3.17

Total magnetization: 0.012 μB per formula unit
Electronic total energy: -31.06 eV/cell
SG: No. 65

3.
NdHoZn2Si2: relaxed, PBE.

Lattice parameters (Å, degrees): 4.1610 4.1610 16.2706 90.00 90.00 120.00
With the nearest neighbours (Å) after each atom.
Sites, in units of the cell vectors:
Zn 0.6667 0.3333 0.1392  3 Si 2.41
Zn 0.6667 0.3333 0.3608  3 Si 2.41
Ho 0.0000 0.0000 0.7500  6 Zn 3.00, 6 Si 3.16
Nd 0.0000 0.0000 0.0000  6 Si 3.14, 6 Zn 3.30
Si 0.3333 0.6667 0.3757  3 Zn 2.41
Zn 0.3333 0.6667 0.8608  3 Si 2.41
Si 0.3333 0.6667 0.1243  3 Zn 2.41
Si 0.6667 0.3333 0.6243  3 Zn 2.41
Ho 0.0000 0.0000 0.2500  6 Zn 3.00, 6 Si 3.16
Nd 0.0000 0.0000 0.5000  6 Si 3.14, 6 Zn 3.30
Si 0.6667 0.3333 0.8757  3 Zn 2.41
Zn 0.3333 0.6667 0.6392  3 Si 2.41

Total magnetization: 0.006 μB per formula unit
Energy above the lowest structure with this stoichiometry: 0.0 meV/atom
SG: No. 194

4.
CsBeFeTc: relaxed, PBE.

Lattice parameters (Å, degrees): 4.5567 4.5567 4.5567 60.00 60.00 60.00
With the nearest neighbours (Å) after each atom.
Sites, in units of the cell vectors:
Cs 0.2500 0.2500 0.2500  4 Tc 2.79, 4 Fe 2.79
Fe 0.0000 0.0000 0.0000  4 Be 2.79, 4 Cs 2.79
Tc 0.5000 0.5000 0.5000  4 Be 2.79, 4 Cs 2.79
Be 0.7500 0.7500 0.7500  4 Tc 2.79, 4 Fe 2.79

Total magnetization: 3.706 μB per formula unit
Energy above the lowest structure with this stoichiometry: 0.0 meV/atom
SG: No. 216

5.
MgZnSiPt: relaxed, PBE.

Lattice parameters (Å, degrees): 4.4293 4.4293 4.4293 60.00 60.00 60.00
With the nearest neighbours (Å) after each atom.
Sites, in units of the cell vectors:
Pt 0.5000 0.5000 0.5000  4 Mg 2.71, 4 Si 2.71
Si 0.2500 0.2500 0.2500  4 Zn 2.71, 4 Pt 2.71
Mg 0.7500 0.7500 0.7500  4 Pt 2.71, 4 Zn 2.71
Zn 0.0000 0.0000 0.0000  4 Si 2.71, 4 Mg 2.71

Total magnetization: 0.000 μB per formula unit
Energy above the lowest structure with this stoichiometry: 0.0 meV/atom
SG: No. 216

6.
Na2CoCuH6: relaxed, PBE.

Lattice parameters (Å, degrees): 4.8217 4.8217 4.8217 60.00 60.00 60.00
With the nearest neighbours (Å) after each atom.
Sites, in units of the cell vectors:
H 0.7649 0.2351 0.7649  1 Co 1.60
H 0.2351 0.7649 0.7649  1 Co 1.60
H 0.7649 0.2351 0.2351  1 Co 1.60
H 0.2351 0.7649 0.2351  1 Co 1.60
H 0.2351 0.2351 0.7649  1 Co 1.60
Na 0.2500 0.2500 0.2500  12 H 2.41
H 0.7649 0.7649 0.2351  1 Co 1.60
Cu 0.5000 0.5000 0.5000  6 H 1.81
Na 0.7500 0.7500 0.7500  12 H 2.41
Co 0.0000 0.0000 0.0000  6 H 1.60

Total magnetization: 0.011 μB per formula unit
Electronic total energy: -34.77 eV/cell
SG: No. 225

7.
TaGaGe: relaxed, PBE.

Lattice parameters (Å, degrees): 4.4207 4.4207 4.4207 60.00 60.00 60.00
With the nearest neighbours (Å) after each atom.
Sites, in units of the cell vectors:
Ga 0.2500 0.2500 0.2500  4 Ta 2.71
Ge 0.7500 0.7500 0.7500  4 Ta 2.71
Ta 0.0000 0.0000 0.0000  4 Ge 2.71, 4 Ga 2.71

Total magnetization: 0.009 μB per formula unit
Energy above the lowest structure with this stoichiometry: 0.0 meV/atom
SG: No. 216

8.
TbHBrCl: relaxed, PBE.

Lattice parameters (Å, degrees): 3.8059 3.8059 14.4888 90.00 90.00 120.00
With the nearest neighbours (Å) after each atom.
Sites, in units of the cell vectors:
Br 0.3333 0.6667 0.3798  3 H 2.92, 3 Tb 2.93
H 0.6667 0.3333 0.2474  3 Tb 2.20
Br 0.6667 0.3333 0.8798  3 H 2.92, 3 Tb 2.93
H 0.3333 0.6667 0.7474  3 Tb 2.20
Tb 0.0000 0.0000 0.2461  3 H 2.20
Cl 0.6667 0.3333 0.6266  3 Tb 2.80, 3 H 2.81
Tb 0.0000 0.0000 0.7461  3 H 2.20
Cl 0.3333 0.6667 0.1266  3 Tb 2.80, 3 H 2.81

Total magnetization: 0.000 μB per formula unit
Electronic total energy: -36.27 eV/cell
SG: No. 186